Entry 1:
Below is crystalline Nd2OsBr at its relaxed geometry, with properties calculated at the PBE-GGA level.

As for the formation energy (no corrections): -0.640 eV/atom.

Geometry as extended XYZ:
```
4
Lattice="3.471 0.000 0.000 0.000 3.471 0.000 0.000 0.000 8.367" Properties=species:S:1:pos:R:3 pbc="T T T"
Nd 0.000 0.000 6.609
Nd 0.000 0.000 1.758
Os 1.735 1.735 0.000
Br 1.735 1.735 4.184
```



Entry 2:
Below is crystalline Nd3OsBr at its relaxed geometry, with properties calculated at the PBE-GGA level.

As for the formation energy (no corrections): -0.494 eV/atom.

Geometry as extended XYZ:
```
10
Lattice="4.154 0.000 0.000 0.000 7.554 -0.505 0.000 -0.677 9.597" Properties=species:S:1:pos:R:3 pbc="T T T"
Nd 3.116 3.836 1.171
Nd 1.039 3.040 7.921
Nd 3.116 0.064 1.499
Nd 1.039 6.813 7.593
Nd 3.116 1.182 5.591
Nd 1.039 5.695 3.501
Os 3.116 1.160 8.471
Os 1.039 5.716 0.621
Br 1.039 2.384 3.317
Br 3.116 4.492 5.775
```



Summary of mass density in g/cm³
9.20 7.79
(order as listed above)
Summary of DFT total energy in eV/atom
-6.2497 -5.9349
(order as listed above)
Summary of spin magnetization in μB/f.u.
0.00 0.00
(order as listed above)